Below is a relaxed structure of PmY2ScTe6, with properties calculated at the PBE level.

Crystal system: trigonal
Magnetization: 0.00 μB per atom
Formation energy from raw total energies: -1.325 eV per atom

Lattice parameters (Å, degrees): 7.6476 7.6476 20.9573 90.00 90.00 120.00
Space group R3 (No. 146, hexagonal axes)
Unique sites:
1 Pm 0.0000 0.0000 0.0000
2 Y 0.0000 0.0000 0.3119
3 Y 0.0000 0.0000 0.8145
4 Sc 0.0000 0.0000 0.4970
5 Te 0.0018 0.6959 0.4096
6 Te 0.0170 0.3359 0.5715